# 1
! VSb2TeOs | Alexandria via LeMat-Bulk | PBE-GGA | relaxed; values from VASP
&SYSTEM
  ibrav = 0, nat = 5, ntyp = 4
/
ATOMIC_SPECIES
Sb 121.76 Sb.upf
V 50.94 V.upf
Te 127.60 Te.upf
Os 190.23 Os.upf
CELL_PARAMETERS angstrom
-4.336 0.559 -2.427
2.245 -1.232 -4.295
-1.220 -5.444 0.924
ATOMIC_POSITIONS crystal
Sb 0.000 0.500 0.000
Sb 0.500 0.000 0.000
V 0.500 0.500 0.500
Te 0.000 0.000 0.500
Os 0.000 0.000 0.000
! E_form (uncorrected)   1.224 eV per atom
! Excess energy over the best structure of this formula in the dataset   0 meV/atom
! Magnetic moment   0.4 Bohr magnetons per cell
! Uncorrected energy   -5.1226 eV per atom
! Calculated volume   28.28 Å³ per atom
! Symmetry   P4/mmm (123)
! Theoretical density   7.2 g/cm³

# 2
! VSb2TeOs | Alexandria via LeMat-Bulk | PBE-GGA | relaxed; values from VASP
&SYSTEM
  ibrav = 0, nat = 5, ntyp = 4
/
ATOMIC_SPECIES
Sb 121.76 Sb.upf
Te 127.60 Te.upf
Os 190.23 Os.upf
V 50.94 V.upf
CELL_PARAMETERS angstrom
5.033 0.000 0.000
0.000 5.033 0.000
0.000 0.000 4.994
ATOMIC_POSITIONS crystal
Sb 0.500 0.000 0.000
Sb 0.000 0.500 0.000
Te 0.000 0.000 0.500
Os 0.500 0.500 0.500
V 0.000 0.000 0.000
! E_form (uncorrected)   1.283 eV per atom
! Excess energy over the best structure of this formula in the dataset   59 meV/atom
! Magnetic moment   2.3 Bohr magnetons per cell
! Uncorrected energy   -5.0638 eV per atom
! Calculated volume   25.30 Å³ per atom
! Symmetry   P4/mmm (123)
! Theoretical density   8.0 g/cm³

# 3
! Sb2TeOsW | Alexandria via LeMat-Bulk | PBE-GGA | relaxed; values from VASP
&SYSTEM
  ibrav = 0, nat = 5, ntyp = 4
/
ATOMIC_SPECIES
Sb 121.76 Sb.upf
Te 127.60 Te.upf
W 183.84 W.upf
Os 190.23 Os.upf
CELL_PARAMETERS angstrom
5.216 0.000 0.000
0.000 5.216 0.000
0.000 0.000 5.141
ATOMIC_POSITIONS crystal
Sb 0.000 0.500 0.000
Sb 0.500 0.000 0.000
Te 0.000 0.000 0.500
W 0.000 0.000 0.000
Os 0.500 0.500 0.500
! E_form (uncorrected)   1.681 eV per atom
! Excess energy over the best structure of this formula in the dataset   138 meV/atom
! Magnetic moment   2.3 Bohr magnetons per cell
! Uncorrected energy   -5.4328 eV per atom
! Calculated volume   27.97 Å³ per atom
! Symmetry   P4/mmm (123)
! Theoretical density   8.8 g/cm³

# 4
! Sb2TeOsW | Alexandria via LeMat-Bulk | PBE-GGA | relaxed; values from VASP
&SYSTEM
  ibrav = 0, nat = 5, ntyp = 4
/
ATOMIC_SPECIES
W 183.84 W.upf
Os 190.23 Os.upf
Sb 121.76 Sb.upf
Te 127.60 Te.upf
CELL_PARAMETERS angstrom
-2.160 3.889 2.247
-4.025 -2.783 0.947
2.224 -1.566 4.848
ATOMIC_POSITIONS crystal
W 0.500 0.500 0.500
Os 0.000 0.000 0.000
Sb 0.000 0.500 0.000
Sb 0.500 0.000 0.000
Te 0.000 0.000 0.500
! E_form (uncorrected)   1.543 eV per atom
! Excess energy over the best structure of this formula in the dataset   0 meV/atom
! Magnetic moment   3.6 Bohr magnetons per cell
! Uncorrected energy   -5.5708 eV per atom
! Calculated volume   27.62 Å³ per atom
! Symmetry   P4/mmm (123)
! Theoretical density   9.0 g/cm³

# 5
! YSbTe2Os | Alexandria via LeMat-Bulk | PBE-GGA | relaxed; values from VASP
&SYSTEM
  ibrav = 0, nat = 5, ntyp = 4
/
ATOMIC_SPECIES
Te 127.60 Te.upf
Os 190.23 Os.upf
Sb 121.76 Sb.upf
Y 88.91 Y.upf
CELL_PARAMETERS angstrom
5.482 0.000 0.000
0.000 5.482 0.000
0.000 0.000 4.890
ATOMIC_POSITIONS crystal
Te 0.500 0.000 0.000
Te 0.000 0.500 0.000
Os 0.000 0.000 0.000
Sb 0.000 0.000 0.500
Y 0.500 0.500 0.500
! E_form (uncorrected)   0.241 eV per atom
! Excess energy over the best structure of this formula in the dataset   0 meV/atom
! Magnetic moment   0.0 Bohr magnetons per cell
! Uncorrected energy   -5.3791 eV per atom
! Calculated volume   29.39 Å³ per atom
! Symmetry   P4/mmm (123)
! Theoretical density   7.4 g/cm³

# 6
! YSbTe2Os | Alexandria via LeMat-Bulk | PBE-GGA | relaxed; values from VASP
&SYSTEM
  ibrav = 0, nat = 5, ntyp = 4
/
ATOMIC_SPECIES
Y 88.91 Y.upf
Os 190.23 Os.upf
Te 127.60 Te.upf
Sb 121.76 Sb.upf
CELL_PARAMETERS angstrom
-1.806 5.413 -0.236
-2.371 -1.013 -5.096
-5.034 -1.564 2.652
ATOMIC_POSITIONS crystal
Y 0.000 0.000 0.000
Os 0.500 0.500 0.500
Te 0.500 0.000 0.000
Te 0.000 0.500 0.000
Sb 0.000 0.000 0.500
! E_form (uncorrected)   1.290 eV per atom
! Excess energy over the best structure of this formula in the dataset   1049 meV/atom
! Magnetic moment   3.7 Bohr magnetons per cell
! Uncorrected energy   -4.3299 eV per atom
! Calculated volume   38.49 Å³ per atom
! Symmetry   P4/mmm (123)
! Theoretical density   5.7 g/cm³